Entry 1:
SrGaTe2O8 | PBE-GGA | optimized geometry

Calculated values
E_tot = -5.578 eV/atom
Size of the total moment = 0.00 μB/cell

a b c (Å): 4.9677 4.9677 6.6194
angles (deg): 90.00 90.00 96.21
With the nearest neighbours (Å) after each atom.
Positions (direct):
Sr  0.0000  0.0000  0.0000  6 O 2.35-2.49
Ga  0.0000  0.0000  0.5000  4 O 1.96
Te  0.5000  0.5000  0.2622  6 O 1.95-2.12
Te  0.5000  0.5000  0.7378  6 O 1.95-2.12
O  0.2069  0.2069  0.2879  1 Te 1.95, 1 Ga 1.96
O  0.2069  0.2069  0.7121  1 Te 1.95, 1 Ga 1.96
O  0.3174  0.6826  0.5000  2 Te 2.07
O  0.3360  0.6640  0.0000  2 Te 2.12
O  0.6640  0.3360  0.0000  2 Te 2.12
O  0.6826  0.3174  0.5000  2 Te 2.07
O  0.7931  0.7931  0.2879  1 Te 1.95, 1 Ga 1.96
O  0.7931  0.7931  0.7121  1 Te 1.95, 1 Ga 1.96

Entry 2:
TbThAg | PBE-GGA | optimized geometry

Calculated values
ΔE_f = -9.26 kJ per mole of atoms
E_tot = -5.063 eV/atom
Size of the total moment = 0.00 μB/cell

a b c (Å): 6.9106 6.9106 6.9106
angles (deg): 149.70 149.70 43.38
With the nearest neighbours (Å) after each atom.
Positions (direct):
Tb  0.0000  0.0000  0.0000  4 Ag 3.15
Th  0.6925  0.6925  0.0000  4 Ag 3.31, 4 Tb 3.55, 4 Th 3.61
Ag  0.3570  0.3570  0.0000  4 Tb 3.15, 4 Th 3.31

Question: Look up the E_tot of the first one.
Answer: -5.578 eV/atom